# MgNb (PBE, optimized geometry)
# **Total moment**: 0.000 μB per atom
# **ΔH_f (0 K)**: 345 meV per atom
data_MgNb
_chemical_formula_sum 'Mg8 Nb8'
_cell_length_a 8.941
_cell_length_b 8.941
_cell_length_c 4.221
_cell_angle_alpha 90.00
_cell_angle_beta 90.00
_cell_angle_gamma 90.00
_symmetry_space_group_name_H-M 'P 4/m m m'
_symmetry_Int_Tables_number 123
_symmetry_space_group_name_Hall '-P 4 2'
loop_
_atom_site_label
_atom_site_type_symbol
_atom_site_fract_x
_atom_site_fract_y
_atom_site_fract_z
Mg1 Mg 0.000 0.344 0.000
Mg2 Mg 0.166 0.166 0.500
Nb1 Nb 0.216 0.500 0.500
Nb2 Nb 0.341 0.341 0.000